(1)
# Ac2CeAlS6 | Alexandria | PBE-GGA | relaxed
data_Ac2CeAlS6
_chemical_formula_sum 'Ac4 Ce2 Al2 S12'
_cell_length_a 12.043
_cell_length_b 6.941
_cell_length_c 7.152
_cell_angle_alpha 90.00
_cell_angle_beta 123.01
_cell_angle_gamma 90.00
_space_group_name_H-M_alt 'C 1 2/m 1'
_space_group_IT_number 12
loop_
_space_group_symop_operation_xyz
'x,y,z'
'-x,-y,-z'
'-x,y,-z'
'x,-y,z'
'x+1/2,y+1/2,z'
'-x+1/2,-y+1/2,-z'
'-x+1/2,y+1/2,-z'
'x+1/2,-y+1/2,z'
loop_
_atom_site_label
_atom_site_fract_x
_atom_site_fract_y
_atom_site_fract_z
Ac1 0.242 0.000 0.218
Ce1 0.000 0.000 0.500
Al1 0.000 0.500 0.000
S1 0.063 0.262 0.833
S2 0.232 0.500 0.341
# * formation energy from raw total energies: -17.68 eV per formula unit
# * magnetization: 2.00 μB per cell
# * calculated volume: 501.3 Å³ per cell

=====

(2)
# AcCeScAl | Alexandria | PBE-GGA | relaxed
data_AcCeScAl
_chemical_formula_sum 'Ac4 Ce4 Sc4 Al4'
_cell_length_a 7.614
_cell_length_b 7.614
_cell_length_c 7.614
_cell_angle_alpha 90.00
_cell_angle_beta 90.00
_cell_angle_gamma 90.00
_space_group_name_H-M_alt 'F -4 3 m'
_space_group_IT_number 216
_space_group_name_Hall 'F -4 2 3'
loop_
_atom_site_label
_atom_site_fract_x
_atom_site_fract_y
_atom_site_fract_z
Ac1 0.000 0.000 0.000
Ce1 0.250 0.250 0.250
Sc1 0.250 0.250 0.750
Al1 0.000 0.000 0.500
# * magnetization: 3.02 μB per cell
# * calculated volume: 441.4 Å³ per cell
# * energy of formation: 96 meV per atom

=====

(3)
# AcCeAlSi2 | Alexandria | PBE-GGA | relaxed
data_AcCeAlSi2
_chemical_formula_sum 'Ac2 Ce2 Al2 Si4'
_cell_length_a 4.481
_cell_length_b 4.481
_cell_length_c 12.064
_cell_angle_alpha 90.00
_cell_angle_beta 90.00
_cell_angle_gamma 90.00
_space_group_name_H-M_alt 'I -4 m 2'
_space_group_IT_number 119
_space_group_name_Hall 'I -4 -2'
loop_
_atom_site_label
_atom_site_fract_x
_atom_site_fract_y
_atom_site_fract_z
Ac1 0.000 0.000 0.000
Ce1 0.000 0.500 0.250
Al1 0.000 0.500 0.750
Si1 0.000 0.000 0.399
# * formation energy from raw total energies: -2.26 eV per formula unit
# * magnetization: 0.34 μB per cell
# * calculated volume: 242.2 Å³ per cell

=====

(4)
# AcCeAlSi | Alexandria | PBE-GGA | relaxed
data_AcCeAlSi
_chemical_formula_sum 'Ac4 Ce4 Al4 Si4'
_cell_length_a 7.547
_cell_length_b 7.547
_cell_length_c 7.547
_cell_angle_alpha 90.00
_cell_angle_beta 90.00
_cell_angle_gamma 90.00
_space_group_name_H-M_alt 'F -4 3 m'
_space_group_IT_number 216
_space_group_name_Hall 'F -4 2 3'
loop_
_atom_site_label
_atom_site_fract_x
_atom_site_fract_y
_atom_site_fract_z
Ac1 0.000 0.000 0.000
Ce1 0.000 0.000 0.500
Al1 0.250 0.250 0.250
Si1 0.250 0.250 0.750
# * formation energy from raw total energies: -0.89 eV per formula unit
# * magnetization: 4.55 μB per cell
# * calculated volume: 429.8 Å³ per cell

=====

(5)
# AcCeSmAl | Alexandria | PBE-GGA | relaxed
data_AcCeSmAl
_chemical_formula_sum 'Ac4 Ce4 Sm4 Al4'
_cell_length_a 7.851
_cell_length_b 7.851
_cell_length_c 7.851
_cell_angle_alpha 90.00
_cell_angle_beta 90.00
_cell_angle_gamma 90.00
_space_group_name_H-M_alt 'F -4 3 m'
_space_group_IT_number 216
_space_group_name_Hall 'F -4 2 3'
loop_
_atom_site_label
_atom_site_fract_x
_atom_site_fract_y
_atom_site_fract_z
Ac1 0.000 0.000 0.000
Ce1 0.250 0.250 0.750
Sm1 0.250 0.250 0.250
Al1 0.000 0.000 0.500
# * magnetization: 3.92 μB per cell
# * calculated volume: 484.0 Å³ per cell
# * energy of formation: 94 meV per atom

=====

(6)
# AcCeThAl | Alexandria | PBE-GGA | relaxed
data_AcCeThAl
_chemical_formula_sum 'Ac4 Ce4 Th4 Al4'
_cell_length_a 7.816
_cell_length_b 7.816
_cell_length_c 7.816
_cell_angle_alpha 90.00
_cell_angle_beta 90.00
_cell_angle_gamma 90.00
_space_group_name_H-M_alt 'F -4 3 m'
_space_group_IT_number 216
_space_group_name_Hall 'F -4 2 3'
loop_
_atom_site_label
_atom_site_fract_x
_atom_site_fract_y
_atom_site_fract_z
Ac1 0.000 0.000 0.000
Ce1 0.250 0.250 0.750
Th1 0.000 0.000 0.500
Al1 0.250 0.250 0.250
# * magnetization: 3.30 μB per cell
# * calculated volume: 477.4 Å³ per cell
# * energy of formation: 119 meV per atom

=====

(7)
# AcCeAlTl | Alexandria | PBE-GGA | relaxed
data_AcCeAlTl
_chemical_formula_sum 'Ac4 Ce4 Al4 Tl4'
_cell_length_a 7.878
_cell_length_b 7.878
_cell_length_c 7.878
_cell_angle_alpha 90.00
_cell_angle_beta 90.00
_cell_angle_gamma 90.00
_space_group_name_H-M_alt 'F -4 3 m'
_space_group_IT_number 216
_space_group_name_Hall 'F -4 2 3'
loop_
_atom_site_label
_atom_site_fract_x
_atom_site_fract_y
_atom_site_fract_z
Ac1 0.000 0.000 0.000
Ce1 0.000 0.000 0.500
Al1 0.250 0.250 0.250
Tl1 0.250 0.250 0.750
# * magnetization: 3.86 μB per cell
# * calculated volume: 488.9 Å³ per cell
# * energy of formation: -192 meV per atom

=====

(8)
# AcCeAlZn | Alexandria | PBE-GGA | relaxed
data_AcCeAlZn
_chemical_formula_sum 'Ac4 Ce4 Al4 Zn4'
_cell_length_a 7.606
_cell_length_b 7.606
_cell_length_c 7.606
_cell_angle_alpha 90.00
_cell_angle_beta 90.00
_cell_angle_gamma 90.00
_space_group_name_H-M_alt 'F -4 3 m'
_space_group_IT_number 216
_space_group_name_Hall 'F -4 2 3'
loop_
_atom_site_label
_atom_site_fract_x
_atom_site_fract_y
_atom_site_fract_z
Ac1 0.000 0.000 0.000
Ce1 0.000 0.000 0.500
Al1 0.250 0.250 0.750
Zn1 0.250 0.250 0.250
# * magnetization: 3.37 μB per cell
# * calculated volume: 440.0 Å³ per cell
# * energy of formation: -179 meV per atom

=====

(9)
# AcAl2Cl8 | Alexandria | PBE-GGA | relaxed
data_AcAl2Cl8
_chemical_formula_sum 'Ac2 Al4 Cl16'
_cell_length_a 14.342
_cell_length_b 8.630
_cell_length_c 6.834
_cell_angle_alpha 90.00
_cell_angle_beta 100.55
_cell_angle_gamma 90.00
_space_group_name_H-M_alt 'C 1 2/m 1'
_space_group_IT_number 12
loop_
_space_group_symop_operation_xyz
'x,y,z'
'-x,-y,-z'
'-x,y,-z'
'x,-y,z'
'x+1/2,y+1/2,z'
'-x+1/2,-y+1/2,-z'
'-x+1/2,y+1/2,-z'
'x+1/2,-y+1/2,z'
loop_
_atom_site_label
_atom_site_fract_x
_atom_site_fract_y
_atom_site_fract_z
Ac1 0.000 0.000 0.000
Al1 0.190 0.000 0.655
Cl1 0.111 0.193 0.756
Cl2 0.163 0.500 0.227
Cl3 0.171 0.000 0.324
# * formation energy from raw total energies: -17.85 eV per formula unit
# * magnetization: 1.99 μB per cell
# * calculated volume: 831.6 Å³ per cell

=====

(10)
# Ac2AlCl | Alexandria | PBE-GGA | relaxed
data_Ac2AlCl
_chemical_formula_sum 'Ac2 Al1 Cl1'
_cell_length_a 3.733
_cell_length_b 3.733
_cell_length_c 8.614
_cell_angle_alpha 90.00
_cell_angle_beta 90.00
_cell_angle_gamma 90.00
_space_group_name_H-M_alt 'P 4/m m m'
_space_group_IT_number 123
_space_group_name_Hall '-P 4 2'
loop_
_atom_site_label
_atom_site_fract_x
_atom_site_fract_y
_atom_site_fract_z
Ac1 0.000 0.000 0.239
Al1 0.500 0.500 0.000
Cl1 0.500 0.500 0.500
# * formation energy from raw total energies: -3.19 eV per formula unit
# * magnetization: 0.00 μB per cell
# * energy above the most stable polymorph in this dataset: 0.000 eV/atom
# * calculated volume: 120.0 Å³ per cell

=====

(11)
# Ac2AlCl | Alexandria | PBE-GGA | relaxed
data_Ac2AlCl
_chemical_formula_sum 'Ac6 Al3 Cl3'
_cell_length_a 4.6770
_cell_length_b 4.6770
_cell_length_c 21.3431
_cell_angle_alpha 90.00
_cell_angle_beta 90.00
_cell_angle_gamma 120.00
_space_group_name_H-M_alt 'R -3 m'
_space_group_IT_number 166
_space_group_name_Hall '-R 3 2"'
loop_
_atom_site_label
_atom_site_fract_x
_atom_site_fract_y
_atom_site_fract_z
Ac1 0.0000 0.0000 0.2502
Al1 0.0000 0.0000 0.0000
Cl1 0.0000 0.0000 0.5000
# * formation energy from raw total energies: -3.17 eV per formula unit
# * magnetization: 0.00 μB per cell
# * energy above the most stable polymorph in this dataset: 0.004 eV/atom
# * calculated volume: 404.3 Å³ per cell

=====

(12)
# Ac2AlCl | Alexandria | PBE-GGA | relaxed
data_Ac2AlCl
_chemical_formula_sum 'Ac6 Al3 Cl3'
_cell_length_a 4.0208
_cell_length_b 4.0208
_cell_length_c 28.0334
_cell_angle_alpha 90.00
_cell_angle_beta 90.00
_cell_angle_gamma 120.00
_space_group_name_H-M_alt 'R 3 m'
_space_group_IT_number 160
_space_group_name_Hall 'R 3 -2"'
loop_
_atom_site_label
_atom_site_fract_x
_atom_site_fract_y
_atom_site_fract_z
Ac1 0.0000 0.0000 0.0000
Ac2 0.0000 0.0000 0.1714
Al1 0.0000 0.0000 0.5859
Cl1 0.0000 0.0000 0.7529
# * formation energy from raw total energies: -3.12 eV per formula unit
# * magnetization: 0.00 μB per cell
# * energy above the most stable polymorph in this dataset: 0.017 eV/atom
# * calculated volume: 392.5 Å³ per cell

=====

(13)
# AcAlCl | Alexandria | PBE-GGA | relaxed
data_AcAlCl
_chemical_formula_sum 'Ac2 Al2 Cl2'
_cell_length_a 3.718
_cell_length_b 3.718
_cell_length_c 12.410
_cell_angle_alpha 90.00
_cell_angle_beta 90.00
_cell_angle_gamma 90.00
_space_group_name_H-M_alt 'P 4/n m m'
_space_group_IT_number 129
loop_
_space_group_symop_operation_xyz
'x,y,z'
'-x,-y,-z'
'-y+1/2,x,z'
'y+1/2,-x,-z'
'-x+1/2,-y+1/2,z'
'x+1/2,y+1/2,-z'
'y,-x+1/2,z'
'-y,x+1/2,-z'
'x+1/2,-y,-z'
'-x+1/2,y,z'
'-y,-x,-z'
'y,x,z'
'-x,y+1/2,-z'
'x,-y+1/2,z'
'y+1/2,x+1/2,-z'
'-y+1/2,-x+1/2,z'
loop_
_atom_site_label
_atom_site_fract_x
_atom_site_fract_y
_atom_site_fract_z
Ac1 0.250 0.250 0.232
Al1 0.250 0.250 0.954
Cl1 0.250 0.250 0.630
# * formation energy from raw total energies: -3.11 eV per formula unit
# * magnetization: 0.00 μB per cell
# * energy above the most stable polymorph in this dataset: 0.250 eV/atom
# * calculated volume: 171.5 Å³ per cell

=====

(14)
# AcAlCl | Alexandria | PBE-GGA | relaxed
data_AcAlCl
_chemical_formula_sum 'Ac4 Al4 Cl4'
_cell_length_a 7.726
_cell_length_b 4.463
_cell_length_c 11.674
_cell_angle_alpha 90.00
_cell_angle_beta 92.10
_cell_angle_gamma 90.00
_space_group_name_H-M_alt 'C 1 2/m 1'
_space_group_IT_number 12
loop_
_space_group_symop_operation_xyz
'x,y,z'
'-x,-y,-z'
'-x,y,-z'
'x,-y,z'
'x+1/2,y+1/2,z'
'-x+1/2,-y+1/2,-z'
'-x+1/2,y+1/2,-z'
'x+1/2,-y+1/2,z'
loop_
_atom_site_label
_atom_site_fract_x
_atom_site_fract_y
_atom_site_fract_z
Ac1 0.011 0.000 0.198
Al1 0.166 0.500 0.984
Cl1 0.185 0.500 0.342
# * formation energy from raw total energies: -3.86 eV per formula unit
# * magnetization: 0.00 μB per cell
# * energy above the most stable polymorph in this dataset: 0.000 eV/atom
# * calculated volume: 402.2 Å³ per cell

=====

(15)
# AcAl5Co2 | Alexandria | PBE-GGA | relaxed
data_AcAl5Co2
_chemical_formula_sum 'Ac2 Al10 Co4'
_cell_length_a 4.048
_cell_length_b 7.139
_cell_length_c 9.806
_cell_angle_alpha 90.00
_cell_angle_beta 90.00
_cell_angle_gamma 90.00
_space_group_name_H-M_alt 'I m m m'
_space_group_IT_number 71
_space_group_name_Hall '-I 2 2'
loop_
_atom_site_label
_atom_site_fract_x
_atom_site_fract_y
_atom_site_fract_z
Ac1 0.000 0.000 0.000
Al1 0.000 0.187 0.334
Al2 0.000 0.500 0.000
Co1 0.000 0.500 0.234
# * magnetization: 0.00 μB per cell
# * calculated volume: 283.3 Å³ per cell
# * energy of formation: -494 meV per atom

=====

(16)
# Ac2AlCo | Alexandria | PBE-GGA | relaxed
data_Ac2AlCo
_chemical_formula_sum 'Ac6 Al3 Co3'
_cell_length_a 4.1102
_cell_length_b 4.1102
_cell_length_c 25.1530
_cell_angle_alpha 90.00
_cell_angle_beta 90.00
_cell_angle_gamma 120.00
_space_group_name_H-M_alt 'R -3 m'
_space_group_IT_number 166
_space_group_name_Hall '-R 3 2"'
loop_
_atom_site_label
_atom_site_fract_x
_atom_site_fract_y
_atom_site_fract_z
Ac1 0.0000 0.0000 0.2332
Al1 0.0000 0.0000 0.0000
Co1 0.0000 0.0000 0.5000
# * magnetization: 0.00 μB per cell
# * calculated volume: 368.0 Å³ per cell
# * energy of formation: 83 meV per atom

=====

(17)
# AcAlCo | Alexandria | PBE-GGA | relaxed
data_AcAlCo
_chemical_formula_sum 'Ac2 Al2 Co2'
_cell_length_a 3.322
_cell_length_b 3.322
_cell_length_c 11.584
_cell_angle_alpha 90.00
_cell_angle_beta 90.00
_cell_angle_gamma 90.00
_space_group_name_H-M_alt 'I 4 m m'
_space_group_IT_number 107
_space_group_name_Hall 'I 4 -2'
loop_
_atom_site_label
_atom_site_fract_x
_atom_site_fract_y
_atom_site_fract_z
Ac1 0.000 0.000 0.000
Al1 0.000 0.000 0.725
Co1 0.000 0.000 0.312
# * magnetization: 1.31 μB per cell
# * energy above the most stable polymorph in this dataset: 0.298 eV/atom
# * calculated volume: 127.8 Å³ per cell
# * energy of formation: 9 meV per atom

=====

(18)
# Ac6AlCo2 | Alexandria | PBE-GGA | relaxed
data_Ac6AlCo2
_chemical_formula_sum 'Ac24 Al4 Co8'
_cell_length_a 10.062
_cell_length_b 10.668
_cell_length_c 10.923
_cell_angle_alpha 90.00
_cell_angle_beta 90.00
_cell_angle_gamma 90.00
_space_group_name_H-M_alt 'I m m m'
_space_group_IT_number 71
_space_group_name_Hall '-I 2 2'
loop_
_atom_site_label
_atom_site_fract_x
_atom_site_fract_y
_atom_site_fract_z
Ac1 0.000 0.191 0.239
Ac2 0.182 0.500 0.174
Ac3 0.217 0.323 0.500
Al1 0.000 0.000 0.000
Al2 0.000 0.000 0.500
Co1 0.000 0.263 0.000
Co2 0.000 0.500 0.390
# * magnetization: 0.00 μB per cell
# * calculated volume: 1172.5 Å³ per cell
# * energy of formation: -62 meV per atom

=====

(19)
# AcAlCo | Alexandria | PBE-GGA | relaxed
data_AcAlCo
_chemical_formula_sum 'Ac4 Al4 Co4'
_cell_length_a 11.717
_cell_length_b 4.421
_cell_length_c 5.392
_cell_angle_alpha 90.00
_cell_angle_beta 101.72
_cell_angle_gamma 90.00
_space_group_name_H-M_alt 'C 1 2/m 1'
_space_group_IT_number 12
loop_
_space_group_symop_operation_xyz
'x,y,z'
'-x,-y,-z'
'-x,y,-z'
'x,-y,z'
'x+1/2,y+1/2,z'
'-x+1/2,-y+1/2,-z'
'-x+1/2,y+1/2,-z'
'x+1/2,-y+1/2,z'
loop_
_atom_site_label
_atom_site_fract_x
_atom_site_fract_y
_atom_site_fract_z
Ac1 0.122 0.000 0.317
Al1 0.110 0.500 0.839
Co1 0.199 0.000 0.868
# * magnetization: 0.00 μB per cell
# * energy above the most stable polymorph in this dataset: 0.000 eV/atom
# * calculated volume: 273.5 Å³ per cell
# * energy of formation: -289 meV per atom

=====

(20)
# Ac2AlCo2 | Alexandria | PBE-GGA | relaxed
data_Ac2AlCo2
_chemical_formula_sum 'Ac6 Al3 Co6'
_cell_length_a 4.1454
_cell_length_b 4.1454
_cell_length_c 27.2946
_cell_angle_alpha 90.00
_cell_angle_beta 90.00
_cell_angle_gamma 120.00
_space_group_name_H-M_alt 'R -3 m'
_space_group_IT_number 166
_space_group_name_Hall '-R 3 2"'
loop_
_atom_site_label
_atom_site_fract_x
_atom_site_fract_y
_atom_site_fract_z
Ac1 0.0000 0.0000 0.0786
Al1 0.0000 0.0000 0.5000
Co1 0.0000 0.0000 0.1876
# * magnetization: 0.00 μB per cell
# * calculated volume: 406.2 Å³ per cell
# * energy of formation: -200 meV per atom